16
Lattice="6.5891 0.0000 0.0000 0.0000 6.5891 0.0000 0.0000 0.0000 6.5891" Properties=species:S:1:pos:R:3 comment="DyZrFeRu | the Alexandria database | PBE | optimized geometry" dft_energy_ev_per_cell=-126.9 crystal_system=cubic total_magnetization_mub_per_atom=0.071 spacegroup="F-43m, No. 216" pbc="T T T"
Dy 0.0000 0.0000 0.0000
Dy 0.0000 3.2946 3.2946
Dy 3.2946 0.0000 3.2946
Dy 3.2946 3.2946 0.0000
Zr 0.0000 0.0000 3.2946
Zr 0.0000 3.2946 0.0000
Zr 3.2946 0.0000 0.0000
Zr 3.2946 3.2946 3.2946
Fe 1.6473 1.6473 1.6473
Fe 1.6473 4.9419 4.9419
Fe 4.9419 1.6473 4.9419
Fe 4.9419 4.9419 1.6473
Ru 1.6473 1.6473 4.9419
Ru 1.6473 4.9419 1.6473
Ru 4.9419 1.6473 1.6473
Ru 4.9419 4.9419 4.9419

16
Lattice="6.9741 0.0000 0.0000 0.0000 6.9741 0.0000 0.0000 0.0000 6.9741" Properties=species:S:1:pos:R:3 comment="LiLa2Co | the Alexandria database | PBE | optimized geometry" dft_energy_ev_per_cell=-72.1 crystal_system=cubic total_magnetization_mub_per_atom=0.000 spacegroup="F-43m, No. 216" pbc="T T T"
Li 0.0000 0.0000 0.0000
Li 0.0000 3.4871 3.4871
Li 3.4871 0.0000 3.4871
Li 3.4871 3.4871 0.0000
La 0.0000 0.0000 3.4871
La 0.0000 3.4871 0.0000
La 1.7435 1.7435 1.7435
La 1.7435 5.2306 5.2306
La 3.4871 0.0000 0.0000
La 3.4871 3.4871 3.4871
La 5.2306 1.7435 5.2306
La 5.2306 5.2306 1.7435
Co 1.7435 1.7435 5.2306
Co 1.7435 5.2306 1.7435
Co 5.2306 1.7435 1.7435
Co 5.2306 5.2306 5.2306

11
Lattice="4.2884 0.0000 0.0000 0.0000 4.2884 0.0000 0.0000 0.0000 10.2161" Properties=species:S:1:pos:R:3 comment="Li8CuAg2 | the Alexandria database | PBE | optimized geometry" crystal_system=tetragonal total_magnetization_mub_per_atom=0.000 de_polymorph_ev_per_atom=0.022 spacegroup="P4/mmm, No. 123" pbc="T T T"
Li 0.0000 0.0000 1.8173
Li 0.0000 0.0000 8.3987
Li 0.0000 2.1442 0.0000
Li 0.0000 2.1442 3.6891
Li 0.0000 2.1442 6.5270
Li 2.1442 0.0000 0.0000
Li 2.1442 0.0000 3.6891
Li 2.1442 0.0000 6.5270
Cu 2.1442 2.1442 5.1080
Ag 2.1442 2.1442 1.9141
Ag 2.1442 2.1442 8.3019

16
Lattice="7.7183 0.0000 0.0000 0.0000 7.7183 0.0000 0.0000 0.0000 7.7183" Properties=species:S:1:pos:R:3 comment="LiCa2Tl | the Alexandria database | PBE | optimized geometry" crystal_system=cubic total_magnetization_mub_per_atom=0.000 de_polymorph_ev_per_atom=0.000 spacegroup="Fm-3m, No. 225" pbc="T T T"
Li 0.0000 0.0000 0.0000
Li 0.0000 3.8591 3.8591
Li 3.8591 0.0000 3.8591
Li 3.8591 3.8591 0.0000
Ca 1.9296 1.9296 1.9296
Ca 1.9296 1.9296 5.7887
Ca 1.9296 5.7887 1.9296
Ca 1.9296 5.7887 5.7887
Ca 5.7887 1.9296 1.9296
Ca 5.7887 1.9296 5.7887
Ca 5.7887 5.7887 1.9296
Ca 5.7887 5.7887 5.7887
Tl 0.0000 0.0000 3.8591
Tl 0.0000 3.8591 0.0000
Tl 3.8591 0.0000 0.0000
Tl 3.8591 3.8591 3.8591

16
Lattice="-3.0426 3.0426 5.1120 3.0426 -3.0426 5.1120 3.0426 3.0426 -5.1120" Properties=species:S:1:pos:R:3 comment="Cu2Ni5Ge | the Alexandria database | PBE | optimized geometry" crystal_system=tetragonal total_magnetization_mub_per_atom=0.000 de_polymorph_ev_per_atom=0.000 spacegroup="I4/mcm, No. 140" pbc="T T T"
Cu 3.9024 0.8598 0.0000
Cu 0.8598 2.1828 0.0000
Cu 2.1828 0.8598 5.1120
Cu -0.8598 2.1828 5.1120
Ni 0.0000 0.0000 0.0000
Ni 3.9575 -0.9148 1.6805
Ni 2.1278 -0.9148 3.4315
Ni 2.1278 0.9148 1.6805
Ni 3.9575 0.9148 3.4315
Ni 0.0000 0.0000 5.1120
Ni -0.9148 2.1278 1.6805
Ni 0.9148 2.1278 3.4315
Ni 0.9148 3.9575 1.6805
Ni -0.9148 3.9575 3.4315
Ge 0.0000 0.0000 2.5560
Ge 0.0000 0.0000 7.6681

5
Lattice="5.3547 0.0000 0.0000 0.0000 5.3547 0.0000 0.0000 0.0000 5.3547" Properties=species:S:1:pos:R:3 comment="Ca3SiTc | the Alexandria database | PBE | optimized geometry" raw_formation_energy_ev_per_atom=0.75 crystal_system=cubic total_magnetization_mub_per_atom=0.546 de_polymorph_ev_per_atom=0.066 spacegroup="Pm-3m, No. 221" pbc="T T T"
Ca 0.0000 0.0000 2.6774
Ca 0.0000 2.6774 0.0000
Ca 2.6774 0.0000 0.0000
Si 2.6774 2.6774 2.6774
Tc 0.0000 0.0000 0.0000

8
Lattice="2.8301 0.0000 0.0000 0.0000 4.5887 0.0000 0.0000 0.0000 9.3133" Properties=species:S:1:pos:R:3 comment="CrAgOs2 | the Alexandria database | PBE | optimized geometry" crystal_system=orthorhombic total_magnetization_mub_per_atom=0.491 de_polymorph_ev_per_atom=0.408 spacegroup="Imm2, No. 44" pbc="T T T"
Cr 0.0000 0.0000 0.0000
Cr 1.4151 2.2944 4.6567
Ag 0.0000 2.2944 7.1357
Ag 1.4151 0.0000 2.4791
Os 0.0000 0.0000 5.0303
Os 0.0000 2.2944 2.5249
Os 1.4151 0.0000 7.1816
Os 1.4151 2.2944 0.3736

8
Lattice="4.6224 0.0000 0.0000 0.0000 4.6224 0.0000 0.0000 0.0000 10.5147" Properties=species:S:1:pos:R:3 comment="Sr2CuMo | the Alexandria database | PBE | optimized geometry" crystal_system=tetragonal total_magnetization_mub_per_atom=0.863 de_polymorph_ev_per_atom=0.310 spacegroup="I-4m2, No. 119" pbc="T T T"
Sr 0.0000 0.0000 0.0000
Sr 0.0000 2.3112 2.6287
Sr 2.3112 0.0000 7.8860
Sr 2.3112 2.3112 5.2573
Cu 0.0000 0.0000 5.2573
Cu 2.3112 2.3112 0.0000
Mo 0.0000 2.3112 7.8860
Mo 2.3112 0.0000 2.6287

4
Lattice="2.7008 0.0000 0.0000 0.0000 3.7487 0.0000 0.0000 0.0000 5.3834" Properties=species:S:1:pos:R:3 comment="CoIr2Rh | the Alexandria database | PBE | optimized geometry" crystal_system=orthorhombic total_magnetization_mub_per_atom=0.431 de_polymorph_ev_per_atom=0.019 spacegroup="Pmmm, No. 47" pbc="T T T"
Co 0.0000 0.0000 0.0000
Ir 1.3504 1.8744 1.3002
Ir 1.3504 1.8744 4.0832
Rh 0.0000 0.0000 2.6917

5
Lattice="5.9609 0.0000 0.0000 0.0000 5.9609 0.0000 0.0000 0.0000 5.9609" Properties=species:S:1:pos:R:3 comment="RbSrSb3 | the Alexandria database | PBE | optimized geometry" raw_formation_energy_ev_per_atom=0.65 crystal_system=cubic total_magnetization_mub_per_atom=0.000 de_polymorph_ev_per_atom=0.456 spacegroup="Pm-3m, No. 221" pbc="T T T"
Rb 0.0000 0.0000 0.0000
Sr 2.9805 2.9805 2.9805
Sb 0.0000 0.0000 2.9805
Sb 0.0000 2.9805 0.0000
Sb 2.9805 0.0000 0.0000

16
Lattice="5.1130 0.0000 0.0000 0.0000 5.1130 0.0000 0.0000 0.0000 12.1141" Properties=species:S:1:pos:R:3 comment="BiBPd2 | the Alexandria database | PBE | optimized geometry" crystal_system=tetragonal total_magnetization_mub_per_atom=0.000 de_polymorph_ev_per_atom=0.270 spacegroup="I-42d, No. 122" pbc="T T T"
Bi 0.0000 0.0000 0.0000
Bi 0.0000 2.5565 3.0285
Bi 2.5565 0.0000 9.0855
Bi 2.5565 2.5565 6.0570
B 0.0000 0.0000 6.0570
B 0.0000 2.5565 9.0855
B 2.5565 0.0000 3.0285
B 2.5565 2.5565 0.0000
Pd 0.6136 1.2782 7.5713
Pd 1.2782 3.1701 10.5998
Pd 1.2782 4.4994 4.5428
Pd 1.9429 1.2782 1.5143
Pd 3.1701 3.8347 1.5143
Pd 3.8347 0.6136 4.5428
Pd 3.8347 1.9429 10.5998
Pd 4.4994 3.8347 7.5713

11
Lattice="-3.7574 3.7574 4.8425 3.7574 -3.7574 4.8425 3.7574 3.7574 -4.8425" Properties=species:S:1:pos:R:3 comment="PuIn4Au6 | the Alexandria database | PBE | optimized geometry" dft_energy_ev_per_cell=-45.6 crystal_system=tetragonal total_magnetization_mub_per_atom=0.541 spacegroup="I-42m, No. 121" pbc="T T T"
Pu 0.0000 0.0000 0.0000
In 1.4939 -1.4939 4.0263
In 2.2635 2.2635 0.8162
In -1.4939 1.4939 4.0263
In 1.4939 1.4939 5.6587
Au 3.7574 0.0000 0.0000
Au 2.7160 2.7160 -1.9773
Au 1.0414 1.0414 2.8652
Au 0.0000 3.7574 0.0000
Au 1.0414 -1.0414 6.8198
Au -1.0414 1.0414 6.8198

D(E_F) / states/eV/cell: 15.6, 18.0, 4.3, 10.4, 19.4, 5.2, 9.5, 7.1, 4.8, 3.8, 7.3, 18.5